(1)
DFT (GGA-PBE) results for an optimized crystal structure of SmDy2Sc7.

POSCAR file:
```
SmDy2Sc7
1.0
3.328 0.000 0.000
0.000 13.182 -4.557
0.000 -10.014 9.708
Sm Dy Sc
1 2 7
Direct
0.000 0.000 0.000
0.500 0.711 0.289
0.500 0.289 0.711
0.000 0.818 0.182
0.000 0.182 0.818
0.500 0.148 0.347
0.500 0.852 0.653
0.500 0.347 0.148
0.500 0.653 0.852
0.500 0.500 0.500
```

Values from the calculation:
energy of formation from the pure elements	159	meV/atom

***

(2)
DFT (GGA-PBE) results for an optimized crystal structure of SmDy2Sc9.

POSCAR file:
```
SmDy2Sc9
1.0
-0.965 -4.988 3.895
4.992 -2.991 2.668
0.902 3.190 9.570
Sm Dy Sc
1 2 9
Direct
0.000 0.000 0.000
0.864 0.864 0.408
0.136 0.136 0.592
0.665 0.665 0.005
0.335 0.335 0.995
0.500 0.500 0.500
0.405 0.405 0.265
0.925 0.405 0.265
0.405 0.925 0.265
0.595 0.595 0.735
0.595 0.075 0.735
0.075 0.595 0.735
```

Values from the calculation:
energy of formation from the pure elements	256	meV/atom

***

(3)
DFT (GGA-PBE) results for an optimized crystal structure of Sm2Dy2Sc5.

POSCAR file:
```
Sm2Dy2Sc5
1.0
-0.855 -8.198 1.640
10.238 -0.683 1.921
-5.670 5.673 3.873
Sm Dy Sc
4 4 10
Direct
0.000 0.046 0.000
0.500 0.546 0.000
0.353 0.410 0.500
0.647 0.910 0.500
0.231 0.579 0.210
0.769 0.368 0.790
0.479 0.079 0.210
0.521 0.868 0.790
0.200 0.687 0.797
0.800 0.890 0.203
0.097 0.187 0.797
0.903 0.390 0.203
0.189 0.904 0.250
0.811 0.654 0.750
0.561 0.404 0.250
0.439 0.154 0.750
0.043 0.799 0.500
0.957 0.299 0.500
```

Values from the calculation:
energy of formation from the pure elements	199	meV/atom

***

(4)
DFT (GGA-PBE) results for an optimized crystal structure of SmDy12Sc7.

POSCAR file:
```
SmDy12Sc7
1.0
8.955 0.000 -3.166
-4.477 7.755 -3.166
0.000 0.000 9.498
Sm Dy Sc
1 12 7
Direct
0.000 0.000 0.000
0.472 0.736 0.737
0.999 0.736 0.263
0.528 0.264 0.263
0.001 0.264 0.737
0.737 0.001 0.264
0.737 0.472 0.736
0.263 0.999 0.736
0.263 0.528 0.264
0.736 0.737 0.472
0.264 0.263 0.528
0.736 0.263 0.999
0.264 0.737 0.001
0.500 0.500 0.000
0.000 0.500 0.500
0.500 0.000 0.500
0.500 0.500 0.500
0.000 0.000 0.500
0.500 0.000 0.000
0.000 0.500 0.000
```

Values from the calculation:
energy of formation from the pure elements	673	meV/atom

***

Question: Look up the energy of formation from the pure elements of the first one.
Answer: 159 meV/atom